DFT (meta-GGA SCAN) results for NiTe4O12 at its PBEsol-relaxed geometry.

Cell: 5.0443 5.5396 7.5226 Å, 83.98 89.95 89.37°
With the nearest neighbours (Å) after each atom.
Positions (direct):
Ni1 0.0000 0.0000 0.0000  6 O 1.96-2.02
Te1 0.0095 0.3862 0.6909  6 O 1.90-2.09
Te2 0.0231 0.3946 0.2163  4 O 1.98-2.22
Te3 0.4998 0.8733 0.6939  6 O 1.95-2.01
Te4 0.5113 0.8650 0.2081  5 O 1.90-1.98
O1 0.1302 0.3320 0.9318  1 Te 1.90, 1 Ni 1.98
O2 0.1778 0.0165 0.2393  1 Te 1.90, 1 Ni 2.02
O3 0.1989 0.6857 0.6229  2 Te 1.94-1.95
O4 0.3064 0.1769 0.6154  2 Te 1.97-2.00
O5 0.3507 0.8535 0.9430  1 Ni 2.00, 2 Te 2.01-2.16
O6 0.3696 0.5452 0.2652  2 Te 1.92-2.00
O7 0.6418 0.8905 0.4495  2 Te 1.95-1.97
O8 0.6928 0.1523 0.1166  1 Te 1.91, 1 Ni 2.00
O9 0.7011 0.5733 0.7675  2 Te 1.97-1.98
O10 0.8159 0.0603 0.7652  1 Ni 1.99, 2 Te 2.01-2.09
O11 0.8307 0.7085 0.1172  1 Ni 1.96, 2 Te 1.98-2.05
O12 0.8646 0.3981 0.4574  2 Te 1.90-1.98

Output
- total DFT energy (no corrections) (eV for the cell shown) = -256.33
- calculated density (g cm⁻³) = 6.046



DFT (meta-GGA SCAN) results for ZrAgAsBr2 at its PBEsol-relaxed geometry.

Cell: 4.9451 4.9451 5.1515 Å, 90.00 90.00 90.00°
With the nearest neighbours (Å) after each atom.
Positions (direct):
Zr1 0.0000 0.0000 0.0000  4 As 3.50, 8 Br 3.57
Ag1 0.5000 0.5000 0.5000  4 Br 2.47, 2 As 2.58
As1 0.5000 0.5000 0.0000  2 Ag 2.58
Br1 0.0000 0.5000 0.5000  2 Ag 2.47
Br2 0.5000 0.0000 0.5000  2 Ag 2.47

Output
- total DFT energy (no corrections) (eV for the cell shown) = -119.06
- calculated density (g cm⁻³) = 5.718



Values of energy relative to the elements, uncorrected, in order: -963 423, all in meV per atom.
Values of Fermi-level density of states, in order: 0.2 2.7, all in states/eV per cell.